Entry 1:
This record from Alexandria describes Sm4DyAg after structural relaxation. The functional is PBE.

Geometry as CIF:
```
data_Sm4DyAg
_space_group_name_H-M_alt 'P 4/m m m'
_space_group_IT_number 123
_space_group_name_Hall '-P 4 2'
_cell_length_a 3.6229
_cell_length_b 3.6229
_cell_length_c 14.0957
_cell_angle_alpha 90.00
_cell_angle_beta 90.00
_cell_angle_gamma 90.00
loop_
_atom_site_label
_atom_site_type_symbol
_atom_site_fract_x
_atom_site_fract_y
_atom_site_fract_z
Sm1 Sm 0.0000 0.0000 0.1385
Sm2 Sm 0.5000 0.5000 0.3227
Dy1 Dy 0.0000 0.0000 0.5000
Ag1 Ag 0.5000 0.5000 0.0000
```

Output
DFT formation energy in eV per atom: -0.071


Entry 2:
This record from Alexandria describes SmDy2Ag3 after structural relaxation. The functional is PBE.

Geometry as CIF:
```
data_SmDy2Ag3
_space_group_name_H-M_alt 'P 4/m m m'
_space_group_IT_number 123
_space_group_name_Hall '-P 4 2'
_cell_length_a 3.6410
_cell_length_b 3.6410
_cell_length_c 11.0869
_cell_angle_alpha 90.00
_cell_angle_beta 90.00
_cell_angle_gamma 90.00
loop_
_atom_site_label
_atom_site_type_symbol
_atom_site_fract_x
_atom_site_fract_y
_atom_site_fract_z
Sm1 Sm 0.0000 0.0000 0.0000
Dy1 Dy 0.0000 0.0000 0.3360
Ag1 Ag 0.5000 0.5000 0.1753
Ag2 Ag 0.5000 0.5000 0.5000
```

Output
DFT formation energy in eV per atom: -0.310


Copy entry 1 word for word.
This record from Alexandria describes Sm4DyAg after structural relaxation. The functional is PBE.

Geometry as CIF:
```
data_Sm4DyAg
_space_group_name_H-M_alt 'P 4/m m m'
_space_group_IT_number 123
_space_group_name_Hall '-P 4 2'
_cell_length_a 3.6229
_cell_length_b 3.6229
_cell_length_c 14.0957
_cell_angle_alpha 90.00
_cell_angle_beta 90.00
_cell_angle_gamma 90.00
loop_
_atom_site_label
_atom_site_type_symbol
_atom_site_fract_x
_atom_site_fract_y
_atom_site_fract_z
Sm1 Sm 0.0000 0.0000 0.1385
Sm2 Sm 0.5000 0.5000 0.3227
Dy1 Dy 0.0000 0.0000 0.5000
Ag1 Ag 0.5000 0.5000 0.0000
```

Output
DFT formation energy in eV per atom: -0.071


> Look up the DFT formation energy of the first one.

-0.071 eV per atom


> The lowest DFT formation energy belongs to which entry?

SmDy2Ag3